A relaxed structure of PrYCBr, computed with PBE.

Cell: 7.6902 7.6902 7.6902 Å, 28.25 28.25 28.25°
Atoms (fractional coordinates):
1 Pr 0.0000 0.0000 0.0000
2 Y 0.7876 0.7876 0.7876
3 C 0.3999 0.3999 0.3999
4 Br 0.2210 0.2210 0.2210

## Properties
Mass density: 5.93 Mg/m³
Formation energy without anion corrections: -0.907 eV/atom
SG: R3m, No. 160